# 1
Na2UPbI8 | PBE-GGA | relaxed

Structure (POSCAR):
```
Na2UPbI8
1.0
7.381 0.000 0.000
0.000 9.421 0.000
-0.574 0.000 7.793
Na U Pb I
2 1 1 8
Cartesian
0.000 2.272 0.000
0.000 7.149 0.000
3.403 4.710 3.897
3.403 0.000 3.897
1.686 0.000 1.232
1.719 4.710 1.383
1.642 2.546 5.070
1.642 6.875 5.070
5.165 2.546 2.723
5.165 6.875 2.723
5.088 4.710 6.410
5.121 0.000 6.561
```

The total magnetization comes out at 2.0 μB per cell. The space group is P2/m. The value obtained for the density of states at the Fermi level is 10.19 states/eV/f.u. For the energy relative to the elements, uncorrected, the calculation gives -0.8862 eV/atom.

***

# 2
LiSc4Rh | PBE-GGA | relaxed

Structure (POSCAR):
```
LiSc4Rh
1.0
-4.681 4.681 3.353
4.681 -4.681 3.353
4.681 4.681 -3.353
Li Sc Rh
2 8 2
Cartesian
0.000 0.000 0.000
0.000 4.681 1.676
4.681 2.224 -0.378
2.224 0.000 1.298
7.138 0.000 1.298
4.681 -1.873 2.926
4.681 1.873 2.926
2.808 4.681 1.249
1.873 0.000 4.602
0.000 2.457 2.974
4.681 0.000 1.094
0.000 0.000 2.770
```

As for the formation energy from the elements: 0.38 eV/f.u. The total magnetization comes out at 1.4 μB per cell. The space group is I4_1md. The value obtained for the density of states at the Fermi level is 8.86 states/eV/f.u. As for the energy relative to the lowest polymorph listed for this composition: 0.00 eV per formula unit.

***

# 3
InMo4Ir | PBE-GGA | relaxed

Structure (POSCAR):
```
InMo4Ir
1.0
0.000 3.701 3.701
3.701 0.000 3.701
3.701 3.701 0.000
In Mo Ir
1 4 1
Cartesian
0.000 0.000 0.000
2.767 2.767 2.767
4.635 4.635 2.767
4.635 2.767 4.635
2.767 4.635 4.635
5.552 5.552 5.552
```

As for the formation energy from the elements: 2.10 eV/f.u. The total magnetization comes out at 0.0 μB per cell. The space group is F-43m. The value obtained for the density of states at the Fermi level is 4.26 states/eV/f.u.

***

# 4
Te2MoS | PBE-GGA | relaxed

Structure (POSCAR):
```
Te2MoS
1.0
3.667 0.000 0.000
-1.834 3.176 0.000
0.000 0.000 25.807
Te Mo S
6 3 3
Cartesian
0.000 0.000 2.529
0.000 0.000 23.278
0.000 2.117 14.676
0.000 2.117 19.734
1.834 1.059 6.073
1.834 1.059 11.131
0.000 0.000 12.904
0.000 2.117 4.301
1.834 1.059 21.506
0.000 0.000 0.000
0.000 2.117 17.205
1.834 1.059 8.602
```

The total magnetization comes out at 0.0 μB per cell. The space group is R-3m. The value obtained for the density of states at the Fermi level is 0.12 states/eV/f.u. For the energy relative to the elements, uncorrected, the calculation gives 0.2544 eV/atom.

***

# 5
ScNi2Ir | PBE-GGA | relaxed

Structure (POSCAR):
```
ScNi2Ir
1.0
6.058 0.000 0.000
0.000 6.058 0.000
0.000 0.000 6.058
Sc Ni Ir
4 8 4
Cartesian
0.000 0.000 0.000
0.000 3.029 3.029
3.029 0.000 3.029
3.029 3.029 0.000
1.515 1.515 1.515
1.515 1.515 4.544
1.515 4.544 1.515
1.515 4.544 4.544
4.544 1.515 1.515
4.544 1.515 4.544
4.544 4.544 1.515
4.544 4.544 4.544
0.000 0.000 3.029
0.000 3.029 0.000
3.029 0.000 0.000
3.029 3.029 3.029
```

As for the formation energy from the elements: -1.32 eV/f.u. The total magnetization comes out at 0.0 μB per cell. The space group is Fm-3m. The value obtained for the density of states at the Fermi level is 2.38 states/eV/f.u.

***

# 6
U3O8 | PBE-GGA | relaxed

Structure (POSCAR):
```
U3O8
1.0
5.808 -3.503 0.000
5.808 3.503 0.000
0.000 0.000 8.320
U O
6 16
Cartesian
5.808 3.481 6.240
3.709 0.009 6.240
3.709 -0.009 2.080
7.908 0.009 6.240
7.908 -0.009 2.080
5.808 -3.481 2.080
0.000 0.000 0.000
0.000 0.000 4.160
4.029 2.258 6.240
4.172 2.157 2.080
3.674 0.000 0.000
3.674 0.000 4.160
7.588 2.258 6.240
7.444 2.157 2.080
5.808 0.183 6.240
5.808 -0.183 2.080
4.172 -2.157 6.240
4.029 -2.258 2.080
7.943 0.000 0.000
7.943 0.000 4.160
7.444 -2.157 6.240
7.588 -2.258 2.080
```

The total magnetization comes out at 4.0 μB per cell. The space group is Cmcm. The value obtained for the density of states at the Fermi level is 8.22 states/eV/f.u. As for the energy relative to the lowest polymorph listed for this composition: 0.02 eV per formula unit. For the energy relative to the elements, uncorrected, the calculation gives -3.1916 eV/atom.